First-principles (GGA-PBE) data for crystalline PrY12Tm6 at its relaxed geometry, as listed in Alexandria via LeMat-Bulk.

## Properties
formation enthalpy at 0 K = 0.4355 eV per atom
ΔE to the lowest computed polymorph = 283 meV per atom

```
19
Lattice="7.4972 4.3285 3.3668 -7.4972 4.3285 3.3668 0.0000 -8.6570 3.3668" Properties=species:S:1:pos:R:3 pbc="T T T"
Pr 0.0000 0.0000 0.0000
Y -2.9137 -5.0467 5.0502
Y -5.8274 0.0000 5.0502
Y -1.6546 -0.9553 2.9971
Y 1.6546 -0.9553 2.9971
Y 0.0000 1.9106 2.9971
Y 2.9137 -5.0467 5.0502
Y -2.9137 5.0467 5.0502
Y 0.0000 -1.9106 7.1033
Y -1.6546 0.9553 7.1033
Y 1.6546 0.9553 7.1033
Y 5.8274 0.0000 5.0502
Y 2.9137 5.0467 5.0502
Tm -3.1629 -1.8261 5.5427
Tm 0.0000 -3.6522 4.5576
Tm -3.1629 1.8261 4.5576
Tm 3.1629 -1.8261 5.5427
Tm 0.0000 3.6522 5.5427
Tm 3.1629 1.8261 4.5576
```